The following is a DFT calculation (PBE) of an optimized crystal structure of BaSnO2F.

Calculated values
D(E_F) (states/eV/cell): 2.2
Raw total energy (eV per formula unit): -23.2
Calculated volume (Å³/cell): 112.78
Space-group type: P4/mmm
M_tot (μB/f.u.): 0.3

Lattice parameters (Å, degrees): 4.827 4.827 4.840 90.00 90.00 90.00
Sites, in units of the cell vectors:
F 0.000 0.000 0.500
Ba 0.000 0.000 0.000
O 0.000 0.500 0.000
O 0.500 0.000 0.000
Sn 0.500 0.500 0.500

***

The following is a DFT calculation (PBE) of an optimized crystal structure of Ba2SrO2F2.

Calculated values
D(E_F) (states/eV/cell): 0.0
Raw total energy (eV per formula unit): -40.0
Calculated volume (Å³/cell): 152.67
Space-group type: I4/mmm
M_tot (μB/f.u.): 0.0

Lattice parameters (Å, degrees): 4.748 4.748 7.560 108.30 108.30 90.00
Sites, in units of the cell vectors:
Ba 0.377 0.377 0.753
Ba 0.623 0.623 0.247
Sr 0.000 0.000 0.000
O 0.000 0.500 0.000
O 0.500 0.000 0.000
F 0.189 0.189 0.377
F 0.811 0.811 0.623

***

The following is a DFT calculation (PBE) of an optimized crystal structure of BaTaOF2.

Calculated values
D(E_F) (states/eV/cell): 7.1
Raw total energy (eV per formula unit): -25.7
Calculated volume (Å³/cell): 122.23
Space-group type: P4/mmm
M_tot (μB/f.u.): 3.0

Lattice parameters (Å, degrees): 4.820 4.820 5.260 90.00 90.00 90.00
Sites, in units of the cell vectors:
F 0.000 0.500 0.000
F 0.500 0.000 0.000
Ba 0.000 0.000 0.000
O 0.000 0.000 0.500
Ta 0.500 0.500 0.500

***

The following is a DFT calculation (PBE) of an optimized crystal structure of BaTaOF2.

Calculated values
D(E_F) (states/eV/cell): 2.2
Raw total energy (eV per formula unit): -33.2
Calculated volume (Å³/cell): 86.81
Space-group type: P4/mmm
M_tot (μB/f.u.): 2.5

Lattice parameters (Å, degrees): 4.633 4.633 4.044 90.00 90.00 90.00
Sites, in units of the cell vectors:
F 0.000 0.500 0.000
F 0.500 0.000 0.000
Ba 0.500 0.500 0.500
O 0.000 0.000 0.500
Ta 0.000 0.000 0.000

***

The following is a DFT calculation (PBE) of an optimized crystal structure of BaTaO2F.

Calculated values
D(E_F) (states/eV/cell): 9.8
Raw total energy (eV per formula unit): -24.8
Calculated volume (Å³/cell): 110.09
Space-group type: P4/mmm
M_tot (μB/f.u.): 0.2

Lattice parameters (Å, degrees): 4.834 4.834 4.712 90.00 90.00 90.00
Sites, in units of the cell vectors:
F 0.000 0.000 0.500
Ba 0.000 0.000 0.000
O 0.000 0.500 0.000
O 0.500 0.000 0.000
Ta 0.500 0.500 0.500

***

The following is a DFT calculation (PBE) of an optimized crystal structure of Ba3TaOF9.

Calculated values
D(E_F) (states/eV/cell): 1.7
Raw total energy (eV per formula unit): -87.3
Calculated volume (Å³/cell): 536.99
Space-group type: C222_1
M_tot (μB/f.u.): 0.1

Lattice parameters (Å, degrees): 14.282 14.282 6.306 90.00 90.00 155.33
Sites, in units of the cell vectors:
Ba 0.049 0.951 0.750
Ba 0.951 0.049 0.250
Ba 0.680 0.320 0.750
Ba 0.320 0.680 0.250
Ba 0.454 0.546 0.750
Ba 0.546 0.454 0.250
Ta 0.829 0.171 0.750
Ta 0.171 0.829 0.250
O 0.755 0.755 0.500
O 0.245 0.245 0.000
F 0.899 0.101 0.750
F 0.101 0.899 0.250
F 0.732 0.039 0.037
F 0.039 0.732 0.963
F 0.552 0.879 0.610
F 0.879 0.552 0.390
F 0.448 0.121 0.110
F 0.121 0.448 0.890
F 0.268 0.961 0.537
F 0.961 0.268 0.463
F 0.594 0.406 0.750
F 0.406 0.594 0.250
F 0.610 0.068 0.860
F 0.068 0.610 0.140
F 0.390 0.932 0.360
F 0.932 0.390 0.640
F 0.753 0.753 0.000
F 0.247 0.247 0.500

***

The following is a DFT calculation (PBE) of an optimized crystal structure of BaTaO2F.

Calculated values
D(E_F) (states/eV/cell): 2.7
Raw total energy (eV per formula unit): -38.0
Calculated volume (Å³/cell): 74.76
Space-group type: P4/mmm
M_tot (μB/f.u.): 0.0

Lattice parameters (Å, degrees): 4.140 4.140 4.363 90.00 90.00 90.00
Sites, in units of the cell vectors:
F 0.000 0.000 0.500
Ba 0.500 0.500 0.500
O 0.000 0.500 0.000
O 0.500 0.000 0.000
Ta 0.000 0.000 0.000

***

The following is a DFT calculation (PBE) of an optimized crystal structure of Ba2TaO2F4.

Calculated values
Raw total energy (eV per formula unit): -61.8
Calculated volume (Å³/cell): 143.50
Space-group type: C2/m
M_tot (μB/f.u.): 1.0

Lattice parameters (Å, degrees): 4.527 5.993 5.993 62.05 88.12 88.12
Sites, in units of the cell vectors:
Ba 0.220 0.675 0.675
Ba 0.780 0.325 0.325
Ta 0.500 0.000 0.000
O 0.279 0.165 0.165
O 0.721 0.835 0.835
F 0.273 0.657 0.202
F 0.727 0.798 0.343
F 0.727 0.343 0.798
F 0.273 0.202 0.657

***

The following is a DFT calculation (PBE) of an optimized crystal structure of Ba3Tb2O4F3.

Calculated values
D(E_F) (states/eV/cell): 3.1
Raw total energy (eV per formula unit): -78.2
Calculated volume (Å³/cell): 225.76
Space-group type: Immm
M_tot (μB/f.u.): 0.2

Lattice parameters (Å, degrees): 4.361 4.324 12.362 100.07 100.16 90.00
Sites, in units of the cell vectors:
Ba 0.502 0.500 0.000
Ba 0.303 0.301 0.602
Ba 0.701 0.699 0.398
Tb 0.105 0.102 0.204
Tb 0.900 0.898 0.796
O 0.417 0.915 0.830
O 0.196 0.193 0.387
O 0.809 0.807 0.613
O 0.587 0.085 0.170
F 0.002 0.000 0.000
F 0.079 0.577 0.153
F 0.926 0.423 0.847

***

The following is a DFT calculation (PBE) of an optimized crystal structure of BaTcO4F.

Calculated values
D(E_F) (states/eV/cell): 0.0
Raw total energy (eV per formula unit): -49.4
Calculated volume (Å³/cell): 331.07
Space-group type: C2/m
M_tot (μB/f.u.): 0.1

Lattice parameters (Å, degrees): 6.754 6.754 7.701 78.40 78.40 77.27
Sites, in units of the cell vectors:
Ba 0.193 0.193 0.873
Ba 0.807 0.807 0.127
Tc 0.646 0.646 0.737
Tc 0.354 0.354 0.263
O 0.277 0.277 0.491
O 0.723 0.723 0.509
O 0.143 0.478 0.158
O 0.523 0.523 0.236
O 0.522 0.857 0.842
O 0.478 0.143 0.158
O 0.477 0.477 0.764
O 0.857 0.522 0.842
F 0.031 0.031 0.172
F 0.969 0.969 0.828

***

The following is a DFT calculation (PBE) of an optimized crystal structure of Ba2TcO4F2.

Calculated values
D(E_F) (states/eV/cell): 5.3
Raw total energy (eV per formula unit): -59.1
Calculated volume (Å³/cell): 146.40
Space-group type: I4/mmm
M_tot (μB/f.u.): 1.0

Lattice parameters (Å, degrees): 5.846 5.846 5.846 94.66 117.35 117.35
Sites, in units of the cell vectors:
Ba 0.500 0.750 0.250
Ba 0.500 0.250 0.750
Tc 0.000 0.000 0.000
O 0.000 0.781 0.219
O 0.562 0.781 0.781
O 0.000 0.219 0.781
O 0.438 0.219 0.219
F 0.000 0.745 0.745
F 0.000 0.255 0.255

***

The following is a DFT calculation (PBE) of an optimized crystal structure of Ba2TcO2F4.

Calculated values
D(E_F) (states/eV/cell): 4.4
Raw total energy (eV per formula unit): -56.1
Calculated volume (Å³/cell): 139.14
Space-group type: C2/m
M_tot (μB/f.u.): 1.0

Lattice parameters (Å, degrees): 4.605 5.864 5.864 61.60 87.82 87.82
Sites, in units of the cell vectors:
Ba 0.226 0.674 0.674
Ba 0.774 0.326 0.326
Tc 0.500 0.000 0.000
O 0.275 0.160 0.160
O 0.725 0.840 0.840
F 0.270 0.653 0.187
F 0.730 0.813 0.347
F 0.730 0.347 0.813
F 0.270 0.187 0.653

***

The following is a DFT calculation (PBE) of an optimized crystal structure of BaTcO3F.

Calculated values
D(E_F) (states/eV/cell): 0.1
Raw total energy (eV per formula unit): -42.3
Calculated volume (Å³/cell): 221.31
Space-group type: C2/c
M_tot (μB/f.u.): 0.0

Lattice parameters (Å, degrees): 4.764 8.462 7.232 54.20 78.13 69.41
Sites, in units of the cell vectors:
Ba 0.250 0.353 0.294
Ba 0.750 0.647 0.706
Tc 0.750 0.042 0.917
Tc 0.250 0.958 0.083
O 0.517 0.890 0.892
O 0.983 0.218 0.892
O 0.750 0.194 0.612
O 0.483 0.110 0.108
O 0.017 0.782 0.108
O 0.250 0.806 0.388
F 0.250 0.570 0.861
F 0.750 0.430 0.139

***

The following is a DFT calculation (PBE) of an optimized crystal structure of Ba3TcO6F2.

Calculated values
D(E_F) (states/eV/cell): 3.5
Raw total energy (eV per formula unit): -75.9
Calculated volume (Å³/cell): 250.48
Space-group type: C2/m
M_tot (μB/f.u.): 1.1

Lattice parameters (Å, degrees): 5.409 7.281 7.331 119.78 88.45 90.00
Sites, in units of the cell vectors:
Ba 0.000 0.500 0.000
Ba 0.500 0.500 0.500
Ba 0.500 0.000 0.500
Tc 0.500 0.000 0.000
O 0.701 0.248 0.110
O 0.299 0.752 0.890
O 0.684 0.871 0.743
O 0.316 0.129 0.257
O 0.299 0.138 0.890
O 0.701 0.862 0.110
F 0.219 0.674 0.349
F 0.781 0.326 0.651

***

The following is a DFT calculation (PBE) of an optimized crystal structure of Ba3TeO6F2.

Calculated values
D(E_F) (states/eV/cell): 6.4
Raw total energy (eV per formula unit): -66.8
Calculated volume (Å³/cell): 250.07
Space-group type: C2/m
M_tot (μB/f.u.): 2.0

Lattice parameters (Å, degrees): 5.151 7.321 7.575 118.90 90.37 90.00
Sites, in units of the cell vectors:
Ba 0.000 0.500 0.000
Ba 0.500 0.500 0.500
Ba 0.500 0.000 0.500
Te 0.500 0.000 0.000
O 0.703 0.259 0.118
O 0.297 0.741 0.882
O 0.697 0.875 0.750
O 0.303 0.125 0.250
O 0.297 0.141 0.882
O 0.703 0.859 0.118
F 0.193 0.680 0.360
F 0.807 0.320 0.640

***

The following is a DFT calculation (PBE) of an optimized crystal structure of Ba2TeO4F2.

Calculated values
D(E_F) (states/eV/cell): 0.0
Raw total energy (eV per formula unit): -51.6
Calculated volume (Å³/cell): 151.80
Space-group type: I4/mmm
M_tot (μB/f.u.): 0.0

Lattice parameters (Å, degrees): 5.898 5.898 5.898 96.21 116.48 116.48
Sites, in units of the cell vectors:
Ba 0.500 0.750 0.250
Ba 0.500 0.250 0.750
Te 0.000 0.000 0.000
O 0.000 0.783 0.217
O 0.566 0.783 0.783
O 0.000 0.217 0.783
O 0.434 0.217 0.217
F 0.000 0.742 0.742
F 0.000 0.258 0.258

***

The following is a DFT calculation (PBE) of an optimized crystal structure of Ba2TeO2F4.

Calculated values
Raw total energy (eV per formula unit): -47.8
Calculated volume (Å³/cell): 151.83
Space-group type: C2/m
M_tot (μB/f.u.): 0.0

Lattice parameters (Å, degrees): 4.487 6.230 6.230 60.79 87.75 87.75
Sites, in units of the cell vectors:
Ba 0.223 0.673 0.673
Ba 0.777 0.327 0.327
Te 0.500 0.000 0.000
O 0.277 0.170 0.170
O 0.723 0.830 0.830
F 0.261 0.643 0.204
F 0.739 0.796 0.357
F 0.739 0.357 0.796
F 0.261 0.204 0.643

***

The following is a DFT calculation (PBE) of an optimized crystal structure of BaTiOF4.

Calculated values
D(E_F) (states/eV/cell): 0.0
Raw total energy (eV per formula unit): -47.4
Calculated volume (Å³/cell): 412.62
Space-group type: Pbcm
M_tot (μB/f.u.): 0.0

Lattice parameters (Å, degrees): 5.301 5.600 13.900 90.00 90.00 90.00
Sites, in units of the cell vectors:
Ba 0.251 0.750 0.594
Ba 0.251 0.250 0.906
Ba 0.749 0.250 0.406
Ba 0.749 0.750 0.094
Ti 0.187 0.750 0.323
Ti 0.187 0.250 0.177
Ti 0.813 0.250 0.677
Ti 0.813 0.750 0.823
O 0.052 0.500 0.250
O 0.948 0.000 0.750
O 0.948 0.500 0.750
O 0.052 0.000 0.250
F 0.098 0.750 0.912
F 0.098 0.250 0.588
F 0.902 0.250 0.088
F 0.902 0.750 0.412
F 0.320 0.515 0.419
F 0.320 0.485 0.081
F 0.680 0.015 0.581
F 0.680 0.985 0.919
F 0.680 0.485 0.581
F 0.680 0.515 0.919
F 0.320 0.985 0.419
F 0.320 0.015 0.081
F 0.505 0.750 0.265
F 0.505 0.250 0.235
F 0.495 0.250 0.735
F 0.495 0.750 0.765

***

The following is a DFT calculation (PBE) of an optimized crystal structure of Ba2TiOF5.

Calculated values
Raw total energy (eV per formula unit): -56.9
Calculated volume (Å³/cell): 147.83
Space-group type: I4mm
M_tot (μB/f.u.): 1.0

Lattice parameters (Å, degrees): 5.984 5.984 5.984 87.36 121.53 121.53
Sites, in units of the cell vectors:
Ba 0.500 0.235 0.735
Ba 0.500 0.735 0.235
Ti 0.000 0.979 0.979
O 0.000 0.774 0.774
F 0.488 0.256 0.256
F 0.512 0.768 0.768
F 0.000 0.768 0.256
F 0.000 0.256 0.768
F 0.000 0.229 0.229

***

The following is a DFT calculation (PBE) of an optimized crystal structure of BaTlO2F.

Calculated values
D(E_F) (states/eV/cell): 2.2
Raw total energy (eV per formula unit): -22.1
Calculated volume (Å³/cell): 109.67
Space-group type: P4/mmm
M_tot (μB/f.u.): 0.0

Lattice parameters (Å, degrees): 4.601 4.601 5.180 90.00 90.00 90.00
Sites, in units of the cell vectors:
Tl 0.500 0.500 0.500
Ba 0.000 0.000 0.000
O 0.000 0.500 0.000
O 0.500 0.000 0.000
F 0.000 0.000 0.500

***

The following is a DFT calculation (PBE) of an optimized crystal structure of BaTlO2F.

Calculated values
D(E_F) (states/eV/cell): 1.5
Raw total energy (eV per formula unit): -20.5
Calculated volume (Å³/cell): 180.20
Space-group type: P4/mmm
M_tot (μB/f.u.): 0.0

Lattice parameters (Å, degrees): 4.402 9.300 4.402 90.00 90.00 90.00
Sites, in units of the cell vectors:
Tl 0.000 0.500 0.000
Ba 0.000 0.000 0.000
O 0.000 0.000 0.500
O 0.500 0.000 0.000
F 0.500 0.500 0.500

***

The following is a DFT calculation (PBE) of an optimized crystal structure of BaTlO2F.

Calculated values
D(E_F) (states/eV/cell): 0.2
Raw total energy (eV per formula unit): -25.2
Calculated volume (Å³/cell): 88.26
Space-group type: P4/mmm
M_tot (μB/f.u.): 0.0

Lattice parameters (Å, degrees): 4.384 4.384 4.592 90.00 90.00 90.00
Sites, in units of the cell vectors:
Tl 0.000 0.000 0.000
Ba 0.500 0.500 0.500
O 0.000 0.500 0.000
O 0.500 0.000 0.000
F 0.000 0.000 0.500